A) Below is a relaxed Pm2ErH crystal, with properties calculated at the GGA-PBE level.

a = 3.414 Å, b = 3.414 Å, c = 8.540 Å
α = 90.00°, β = 90.00°, γ = 90.00°
Positions (direct):
1 Pm 0.000 0.000 0.808
2 Pm 0.000 0.000 0.192
3 Er 0.500 0.500 0.500
4 H 0.500 0.500 0.000

Symmetry = No. 123
ρ = 7.6 g cm⁻³

---

B) Below is a relaxed Pm2ErH crystal, with properties calculated at the GGA-PBE level.

a = 3.658 Å, b = 3.658 Å, c = 8.925 Å
α = 78.17°, β = 78.17°, γ = 60.00°
Positions (direct):
1 Pm 0.278 0.278 0.167
2 Pm 0.722 0.722 0.833
3 Er 0.500 0.500 0.500
4 H 0.000 0.000 0.000

Symmetry = No. 166
ρ = 7.6 g cm⁻³

---

We find B) to be the most stable, with the next structure 23.4 kJ/mol of atoms higher.

---

A) Below is a relaxed ErHPt3 crystal, with properties calculated at the GGA-PBE level.

a = 5.890 Å, b = 5.890 Å, c = 5.890 Å
α = 119.57°, β = 119.57°, γ = 60.43°
Positions (direct):
1 Er 0.494 0.628 0.907
2 Er 0.994 0.128 0.407
3 Pt 0.509 0.120 0.416
4 Pt 0.485 0.143 0.916
5 Pt 0.485 0.620 0.392
6 Pt 0.985 0.643 0.416
7 Pt 0.009 0.620 0.916
8 Pt 0.985 0.120 0.892
9 H 0.160 0.295 0.241
10 H 0.661 0.795 0.741

Symmetry = No. 160
ρ = 17.2 g cm⁻³

---

B) Below is a relaxed ErHPt3 crystal, with properties calculated at the GGA-PBE level.

a = 4.154 Å, b = 4.154 Å, c = 4.154 Å
α = 90.00°, β = 90.00°, γ = 90.00°
Positions (direct):
1 H 0.000 0.000 0.000
2 Pt 0.000 0.500 0.000
3 Pt 0.500 0.000 0.000
4 Pt 0.000 0.000 0.500
5 Er 0.500 0.500 0.500

Symmetry = No. 221
ρ = 17.5 g cm⁻³

---

We find A) to be the most stable, with the next structure 5.4 kJ/mol of atoms higher.

---

A) Below is a relaxed ErH6Ru2 crystal, with properties calculated at the GGA-PBE level.

a = 4.167 Å, b = 4.167 Å, c = 4.943 Å
α = 105.41°, β = 105.41°, γ = 93.14°
Positions (direct):
1 H 0.084 0.584 0.703
2 H 0.014 0.123 0.727
3 H 0.377 0.486 0.273
4 H 0.986 0.877 0.273
5 H 0.916 0.416 0.297
6 H 0.623 0.514 0.727
7 Ru 0.248 0.252 0.500
8 Ru 0.752 0.748 0.500
9 Er 0.500 0.000 0.000

Symmetry = No. 12
ρ = 7.9 g cm⁻³

---

B) Below is a relaxed ErH6Ru2 crystal, with properties calculated at the GGA-PBE level.

a = 3.573 Å, b = 4.958 Å, c = 5.516 Å
α = 74.21°, β = 71.10°, γ = 68.88°
Positions (direct):
1 Ru 0.177 0.744 0.902
2 Ru 0.823 0.256 0.098
3 H 0.345 0.724 0.585
4 H 0.958 0.877 0.206
5 H 0.718 0.659 0.906
6 H 0.655 0.276 0.415
7 H 0.042 0.123 0.794
8 H 0.282 0.341 0.094
9 Er 0.000 0.500 0.500

Symmetry = No. 12
ρ = 7.3 g cm⁻³

---

We find A) to be the most stable, with the next structure 4.1 kJ/mol of atoms higher.

---

A) Below is a relaxed ErHS2 crystal, with properties calculated at the GGA-PBE level.

a = 4.044 Å, b = 4.044 Å, c = 6.509 Å
α = 71.90°, β = 71.90°, γ = 60.00°
Positions (direct):
1 S 0.089 0.089 0.732
2 S 0.911 0.911 0.268
3 Er 0.500 0.500 0.500
4 H 0.000 0.000 0.000

Symmetry = No. 166
ρ = 4.5 g cm⁻³

---

B) Below is a relaxed ErHS2 crystal, with properties calculated at the GGA-PBE level.

a = 4.047 Å, b = 6.009 Å, c = 6.702 Å
α = 90.00°, β = 90.00°, γ = 90.00°
Positions (direct):
1 S 0.500 0.991 0.827
2 S 0.000 0.512 0.644
3 S 0.500 0.488 0.144
4 S 0.000 0.009 0.327
5 H 0.500 0.168 0.958
6 H 0.000 0.832 0.458
7 Er 0.000 0.717 0.993
8 Er 0.500 0.283 0.493

Symmetry = No. 31
ρ = 4.7 g cm⁻³

---

We find B) to be the most stable, with the next structure 4.0 kJ/mol of atoms higher.

---

A) Below is a relaxed Er3SbH crystal, with properties calculated at the GGA-PBE level.

a = 4.732 Å, b = 4.732 Å, c = 4.732 Å
α = 90.00°, β = 90.00°, γ = 90.00°
Positions (direct):
1 Er 0.000 0.500 0.000
2 Er 0.000 0.000 0.500
3 Er 0.500 0.000 0.000
4 H 0.000 0.000 0.000
5 Sb 0.500 0.500 0.500

Symmetry = No. 221
ρ = 9.8 g cm⁻³

---

B) Below is a relaxed Er3SbH crystal, with properties calculated at the GGA-PBE level.

a = 3.891 Å, b = 6.423 Å, c = 9.426 Å
α = 100.70°, β = 90.00°, γ = 90.00°
Positions (direct):
1 Er 0.750 0.592 0.353
2 Er 0.250 0.408 0.647
3 Er 0.250 0.907 0.625
4 Er 0.750 0.234 0.912
5 Er 0.750 0.093 0.375
6 Er 0.250 0.766 0.088
7 Sb 0.750 0.718 0.837
8 Sb 0.250 0.282 0.163
9 H 0.750 0.179 0.655
10 H 0.250 0.821 0.345

Symmetry = No. 11
ρ = 9.0 g cm⁻³

---

We find B) to be the most stable, with the next structure 4.0 kJ/mol of atoms higher.

---

A) Below is a relaxed ErScH2 crystal, with properties calculated at the GGA-PBE level.

a = 3.530 Å, b = 3.530 Å, c = 5.870 Å
α = 72.50°, β = 72.50°, γ = 60.00°
Positions (direct):
1 H 0.123 0.123 0.632
2 H 0.877 0.877 0.368
3 Sc 0.000 0.000 0.000
4 Er 0.500 0.500 0.500

Symmetry = No. 166
ρ = 6.0 g cm⁻³

---

B) Below is a relaxed ErScH2 crystal, with properties calculated at the GGA-PBE level.

a = 3.328 Å, b = 3.328 Å, c = 5.910 Å
α = 73.65°, β = 73.65°, γ = 60.00°
Positions (direct):
1 H 0.070 0.070 0.790
2 H 0.268 0.268 0.196
3 Er 0.491 0.491 0.528
4 Sc 0.671 0.671 0.986

Symmetry = No. 160
ρ = 6.6 g cm⁻³

---

We find A) to be the most stable, with the next structure 20.1 kJ/mol of atoms higher.

---

A) Below is a relaxed Er2ScH crystal, with properties calculated at the GGA-PBE level.

a = 3.240 Å, b = 3.240 Å, c = 8.099 Å
α = 90.00°, β = 90.00°, γ = 90.00°
Positions (direct):
1 H 0.500 0.500 0.000
2 Sc 0.500 0.500 0.500
3 Er 0.000 0.000 0.198
4 Er 0.000 0.000 0.802

Symmetry = No. 123
ρ = 7.4 g cm⁻³

---

B) Below is a relaxed Er2ScH crystal, with properties calculated at the GGA-PBE level.

a = 3.390 Å, b = 3.390 Å, c = 9.173 Å
α = 79.35°, β = 79.35°, γ = 60.00°
Each line ends with the local moment (μB).
Positions (direct):
1 Sc 0.000 0.000 0.000  0.38
2 H 0.500 0.500 0.500  0.00
3 Er 0.117 0.117 0.649  0.13
4 Er 0.883 0.883 0.351  0.13

Symmetry = No. 166
ρ = 7.1 g cm⁻³

---

We find B) to be the most stable, with the next structure 6.4 kJ/mol of atoms higher.

---

A) Below is a relaxed Er2HSe3 crystal, with properties calculated at the GGA-PBE level.

a = 3.848 Å, b = 11.707 Å, c = 10.745 Å
α = 90.00°, β = 90.00°, γ = 90.00°
Positions (direct):
1 Se 0.750 0.627 0.934
2 Se 0.250 0.373 0.066
3 Se 0.750 0.306 0.818
4 Se 0.750 0.936 0.119
5 Se 0.250 0.064 0.881
6 Se 0.750 0.194 0.318
7 Se 0.250 0.694 0.182
8 Se 0.250 0.127 0.566
9 Se 0.250 0.806 0.682
10 Se 0.750 0.564 0.619
11 Se 0.250 0.436 0.381
12 Se 0.750 0.873 0.434
13 Er 0.750 0.516 0.197
14 Er 0.250 0.484 0.803
15 Er 0.250 0.016 0.303
16 Er 0.250 0.824 0.950
17 Er 0.750 0.176 0.050
18 Er 0.250 0.676 0.450
19 Er 0.750 0.324 0.550
20 Er 0.750 0.984 0.697
21 H 0.250 0.124 0.135
22 H 0.750 0.876 0.865
23 H 0.750 0.624 0.365
24 H 0.250 0.376 0.635

Symmetry = No. 62
ρ = 7.9 g cm⁻³

---

B) Below is a relaxed Er2HSe3 crystal, with properties calculated at the GGA-PBE level.

a = 4.228 Å, b = 7.770 Å, c = 10.190 Å
α = 69.22°, β = 78.03°, γ = 74.21°
Positions (direct):
1 H 0.442 0.491 0.626
2 H 0.558 0.509 0.374
3 Er 0.143 0.534 0.180
4 Er 0.394 0.767 0.446
5 Er 0.606 0.233 0.554
6 Er 0.857 0.466 0.820
7 Se 0.221 0.180 0.379
8 Se 0.056 0.138 0.751
9 Se 0.649 0.694 0.008
10 Se 0.944 0.862 0.249
11 Se 0.351 0.306 0.992
12 Se 0.779 0.820 0.621

Symmetry = No. 12
ρ = 6.4 g cm⁻³

---

We find A) to be the most stable, with the next structure 14.4 kJ/mol of atoms higher.

---

A) Below is a relaxed Er2SiH crystal, with properties calculated at the GGA-PBE level.

a = 5.555 Å, b = 5.551 Å, c = 10.646 Å
α = 91.37°, β = 90.00°, γ = 90.00°
Positions (direct):
1 Er 0.234 0.976 0.633
2 Er 0.230 0.008 0.117
3 Er 0.766 0.024 0.367
4 Er 0.770 0.508 0.617
5 Er 0.770 0.992 0.883
6 Er 0.234 0.524 0.867
7 Er 0.766 0.476 0.133
8 Er 0.230 0.492 0.383
9 Si 0.264 0.992 0.375
10 Si 0.736 0.492 0.875
11 Si 0.264 0.508 0.125
12 Si 0.736 0.008 0.625
13 H 0.190 0.946 0.876
14 H 0.190 0.554 0.624
15 H 0.810 0.054 0.124
16 H 0.810 0.446 0.376

Symmetry = No. 13
ρ = 7.4 g cm⁻³

---

B) Below is a relaxed Er2SiH crystal, with properties calculated at the GGA-PBE level.

a = 4.306 Å, b = 4.306 Å, c = 7.277 Å
α = 72.79°, β = 72.79°, γ = 60.00°
Positions (direct):
1 H 0.000 0.000 0.000
2 Si 0.500 0.500 0.500
3 Er 0.102 0.102 0.694
4 Er 0.898 0.898 0.306

Symmetry = No. 166
ρ = 5.5 g cm⁻³

---

We find A) to be the most stable, with the next structure 13.6 kJ/mol of atoms higher.

---

A) Below is a relaxed Sm2ErH crystal, with properties calculated at the GGA-PBE level.

a = 3.646 Å, b = 3.646 Å, c = 8.867 Å
α = 78.13°, β = 78.13°, γ = 60.00°
Positions (direct):
1 Sm 0.722 0.722 0.834
2 Sm 0.278 0.278 0.166
3 H 0.000 0.000 0.000
4 Er 0.500 0.500 0.500

Symmetry = No. 166
ρ = 7.9 g cm⁻³

---

B) Below is a relaxed Sm2ErH crystal, with properties calculated at the GGA-PBE level.

a = 3.398 Å, b = 3.398 Å, c = 8.510 Å
α = 90.00°, β = 90.00°, γ = 90.00°
Positions (direct):
1 Sm 0.000 0.000 0.808
2 Sm 0.000 0.000 0.192
3 Er 0.500 0.500 0.500
4 H 0.500 0.500 0.000

Symmetry = No. 123
ρ = 7.9 g cm⁻³

---

We find A) to be the most stable, with the next structure 24.3 kJ/mol of atoms higher.

---

A) Below is a relaxed SmEr2H crystal, with properties calculated at the GGA-PBE level.

a = 3.344 Å, b = 3.344 Å, c = 8.485 Å
α = 90.00°, β = 90.00°, γ = 90.00°
Positions (direct):
1 Sm 0.500 0.500 0.500
2 H 0.500 0.500 0.000
3 Er 0.000 0.000 0.810
4 Er 0.000 0.000 0.190

Symmetry = No. 123
ρ = 8.5 g cm⁻³

---

B) Below is a relaxed SmEr2H crystal, with properties calculated at the GGA-PBE level.

a = 3.580 Å, b = 3.580 Å, c = 8.730 Å
α = 78.17°, β = 78.17°, γ = 60.00°
Positions (direct):
1 Sm 0.500 0.500 0.500
2 Er 0.280 0.280 0.160
3 Er 0.720 0.720 0.840
4 H 0.000 0.000 0.000

Symmetry = No. 166
ρ = 8.6 g cm⁻³

---

We find B) to be the most stable, with the next structure 32.1 kJ/mol of atoms higher.

---

A) Below is a relaxed Er2SnH crystal, with properties calculated at the GGA-PBE level.

a = 4.695 Å, b = 4.695 Å, c = 7.285 Å
α = 71.20°, β = 71.20°, γ = 60.00°
Positions (direct):
1 Er 0.102 0.102 0.695
2 Er 0.898 0.898 0.305
3 Sn 0.500 0.500 0.500
4 H 0.000 0.000 0.000

Symmetry = No. 166
ρ = 5.8 g cm⁻³

---

B) Below is a relaxed Er2SnH crystal, with properties calculated at the GGA-PBE level.

a = 4.472 Å, b = 4.472 Å, c = 8.385 Å
α = 90.01°, β = 90.01°, γ = 90.00°
Positions (direct):
1 H 0.250 0.250 0.420
2 H 0.750 0.750 0.580
3 Er 0.250 0.750 0.500
4 Er 0.250 0.250 0.152
5 Er 0.750 0.750 0.848
6 Er 0.750 0.250 0.500
7 Sn 0.750 0.750 0.218
8 Sn 0.250 0.250 0.782

Symmetry = No. 129
ρ = 9.0 g cm⁻³

---

C) Below is a relaxed Er2SnH crystal, with properties calculated at the GGA-PBE level.

a = 6.739 Å, b = 6.337 Å, c = 8.120 Å
α = 90.00°, β = 81.01°, γ = 90.00°
Positions (direct):
1 Er 0.783 0.397 0.473
2 Er 0.717 0.897 0.527
3 Er 0.945 0.164 0.839
4 Er 0.055 0.836 0.161
5 Er 0.445 0.336 0.839
6 Er 0.217 0.603 0.527
7 Er 0.555 0.664 0.161
8 Er 0.283 0.103 0.473
9 H 0.209 0.314 0.687
10 H 0.709 0.186 0.687
11 H 0.791 0.686 0.313
12 H 0.291 0.814 0.313
13 Sn 0.640 0.163 0.171
14 Sn 0.360 0.837 0.829
15 Sn 0.140 0.337 0.171
16 Sn 0.860 0.663 0.829

Symmetry = No. 14
ρ = 8.8 g cm⁻³

---

We find B) to be the most stable, with the next structure 14.2 kJ/mol of atoms higher.